1.
! Al2TcAs | Alexandria via LeMat-Bulk | PBE-GGA | relaxed; values from VASP
! SG: Cmm2
! calculated formation energy: 0.123 eV/atom
! volume: 16.52 Å³/atom
&SYSTEM
  ibrav = 0, nat = 4, ntyp = 3
/
ATOMIC_SPECIES
Al 26.98 Al.upf
Tc 98.00 Tc.upf
As 74.92 As.upf
CELL_PARAMETERS angstrom
1.5712 -2.4817 0.0000
1.5712 2.4817 0.0000
0.0000 0.0000 8.4724
ATOMIC_POSITIONS crystal
Al 0.0000 0.0000 0.0000
Al 0.5000 0.5000 0.2650
Tc 0.5000 0.5000 0.7628
As 0.0000 0.0000 0.5358

---

2.
! AcPa2N4 | Alexandria via LeMat-Bulk | PBE-GGA | relaxed; values from VASP
! SG: Cmcm
! volume: 16.54 Å³/atom
! ΔE_f (raw): -35.67 kcal/mol of atoms
&SYSTEM
  ibrav = 0, nat = 14, ntyp = 3
/
ATOMIC_SPECIES
Ac 227.00 Ac.upf
Pa 231.04 Pa.upf
N 14.01 N.upf
CELL_PARAMETERS angstrom
1.7791 -5.8401 0.0000
1.7791 5.8401 0.0000
0.0000 0.0000 11.1426
ATOMIC_POSITIONS crystal
Ac 0.1089 0.8911 0.7500
Ac 0.8911 0.1089 0.2500
Pa 0.3678 0.6322 0.5689
Pa 0.3678 0.6322 0.9311
Pa 0.6322 0.3678 0.0689
Pa 0.6322 0.3678 0.4311
N 0.0000 0.0000 0.0000
N 0.0000 0.0000 0.5000
N 0.2681 0.7319 0.0997
N 0.2681 0.7319 0.4003
N 0.4490 0.5510 0.7500
N 0.5510 0.4490 0.2500
N 0.7319 0.2681 0.5997
N 0.7319 0.2681 0.9003

---

3.
! KTaB2Pd | Alexandria via LeMat-Bulk | PBE-GGA | relaxed; values from VASP
! SG: P4/mmm
! calculated formation energy: 2.014 eV/atom
! volume: 18.32 Å³/atom
&SYSTEM
  ibrav = 0, nat = 5, ntyp = 4
/
ATOMIC_SPECIES
K 39.10 K.upf
Ta 180.95 Ta.upf
B 10.81 B.upf
Pd 106.42 Pd.upf
CELL_PARAMETERS angstrom
4.2280 0.0000 0.0000
0.0000 4.2280 0.0000
0.0000 0.0000 5.1241
ATOMIC_POSITIONS crystal
K 0.0000 0.0000 0.0000
Ta 0.5000 0.5000 0.0000
B 0.0000 0.5000 0.5000
B 0.5000 0.0000 0.5000
Pd 0.0000 0.0000 0.5000